Density functional theory data (PBE) for a relaxed structure of TlNiTe3Ir.

```
data_TlNiTe3Ir
_cell_length_a 4.005
_cell_length_b 14.900
_cell_length_c 10.368
_cell_angle_alpha 90.00
_cell_angle_beta 90.00
_cell_angle_gamma 90.00
_symmetry_space_group_name_H-M 'C m c m'
_symmetry_Int_Tables_number 63
_symmetry_space_group_name_Hall '-C 2c 2'
loop_
_atom_site_label
_atom_site_fract_x
_atom_site_fract_y
_atom_site_fract_z
Tl1 0.000 0.240 0.250
Ni1 0.000 0.467 0.750
Te1 0.000 0.068 0.750
Te2 0.000 0.382 0.542
Ir1 0.000 0.000 0.000
```

Results
The total magnetic moment comes out at 0.00 μB per atom. The uncorrected energy comes out at -4.479 eV per atom.